This record from Alexandria via LeMat-Bulk describes a relaxed Rb3Na crystal. The functional is PBE.

Values from the calculation:
Formation energy: 0.07 eV per atom

a b c (Å): 4.936 4.578 13.998
angles (deg): 90.00 90.00 90.00
Atoms (fractional coordinates):
Rb (0.500, 0.000, 0.738)
Rb (0.500, 0.500, 0.161)
Rb (0.000, 0.500, 0.461)
Na (0.000, 0.000, 0.973)

This record from Alexandria via LeMat-Bulk describes a relaxed CuNiRu3 crystal. The functional is PBE.

Values from the calculation:
Energy relative to the lowest polymorph listed for this composition: 0.0 meV/atom
Formation energy: 1.61 eV per atom

a b c (Å): 4.437 4.437 4.437
angles (deg): 90.00 90.00 90.00
Each line ends with the local moment (μB).
Atoms (fractional coordinates):
Cu (0.500, 0.500, 0.500)  0.09
Ru (0.000, 0.000, 0.500)  1.87
Ru (0.500, 0.000, 0.000)  1.25
Ru (0.000, 0.500, 0.000)  1.54
Ni (0.000, 0.000, 0.000)  0.78

This record from Alexandria via LeMat-Bulk describes a relaxed InRe2Mo crystal. The functional is PBE.

Values from the calculation:
Formation energy: 0.44 eV per atom

a b c (Å): 2.799 2.799 9.278
angles (deg): 90.00 90.00 113.49
Atoms (fractional coordinates):
Re (0.500, 0.500, 0.234)
Re (0.000, 0.000, 0.001)
In (0.000, 0.000, 0.500)
Mo (0.500, 0.500, 0.766)

This record from Alexandria via LeMat-Bulk describes a relaxed Nd6SmDy3Er2 crystal. The functional is PBE.

Values from the calculation:
Formation energy: 0.01 eV per atom

a b c (Å): 6.273 6.273 11.875
angles (deg): 95.04 95.04 120.00
Atoms (fractional coordinates):
Nd (0.418, 0.084, 0.250)
Nd (0.916, 0.582, 0.750)
Nd (0.750, 0.750, 0.250)
Nd (0.582, 0.916, 0.750)
Nd (0.084, 0.418, 0.250)
Nd (0.250, 0.250, 0.750)
Er (0.333, 0.667, 0.000)
Er (0.667, 0.333, 0.000)
Dy (0.833, 0.167, 0.500)
Dy (0.500, 0.500, 0.500)
Dy (0.167, 0.833, 0.500)
Sm (0.000, 0.000, 0.000)

This record from Alexandria via LeMat-Bulk describes a relaxed AlGeAu6 crystal. The functional is PBE.

Values from the calculation:
Energy relative to the lowest polymorph listed for this composition: 29.8 meV/atom
Formation energy: -0.05 eV per atom

a b c (Å): 6.473 7.457 5.407
angles (deg): 43.77 55.40 64.57
Atoms (fractional coordinates):
Au (0.247, 0.041, 0.211)
Au (0.004, 0.441, 0.308)
Au (0.996, 0.559, 0.692)
Au (0.417, 0.756, 0.832)
Au (0.753, 0.959, 0.789)
Au (0.583, 0.244, 0.168)
Ge (0.500, 0.500, 0.500)
Al (0.000, 0.000, 0.000)

This record from Alexandria via LeMat-Bulk describes a relaxed AcTlS3 crystal. The functional is PBE.

Values from the calculation:
Raw formation energy: -1.060 eV/atom

a b c (Å): 4.592 5.958 11.376
angles (deg): 102.98 101.64 90.00
Atoms (fractional coordinates):
S (0.214, 0.679, 0.428)
S (0.938, 0.682, 0.877)
S (0.616, 0.866, 0.231)
S (0.062, 0.318, 0.123)
S (0.786, 0.321, 0.572)
S (0.384, 0.134, 0.769)
Ac (0.337, 0.591, 0.674)
Ac (0.663, 0.409, 0.326)
Tl (0.943, 0.214, 0.885)
Tl (0.057, 0.786, 0.115)

This record from Alexandria via LeMat-Bulk describes a relaxed Pm3MnAs crystal. The functional is PBE.

Values from the calculation:
Formation energy: -0.04 eV per atom

a b c (Å): 5.103 5.103 5.103
angles (deg): 90.00 90.00 90.00
Each line ends with the local moment (μB).
Atoms (fractional coordinates):
Pm (0.500, 0.000, 0.000)  -0.01
Pm (0.000, 0.500, 0.000)  -0.01
Pm (0.000, 0.000, 0.500)  -0.01
As (0.500, 0.500, 0.500)  0.00
Mn (0.000, 0.000, 0.000)  0.33

This record from Alexandria via LeMat-Bulk describes a relaxed SbSeBr crystal. The functional is PBE.

Values from the calculation:
Raw formation energy: -0.389 eV/atom

a b c (Å): 4.040 7.301 7.612
angles (deg): 72.29 74.82 73.95
Atoms (fractional coordinates):
Br (0.255, 0.645, 0.667)
Br (0.098, 0.215, 0.419)
Sb (0.557, 0.911, 0.799)
Sb (0.197, 0.381, 0.053)
Se (0.894, 0.058, 0.980)
Se (0.542, 0.623, 0.121)

This record from Alexandria via LeMat-Bulk describes a relaxed CaCoOs2 crystal. The functional is PBE.

Values from the calculation:
Energy relative to the lowest polymorph listed for this composition: 427.2 meV/atom
Formation energy: 0.78 eV per atom

a b c (Å): 7.549 7.549 5.861
angles (deg): 49.91 49.91 90.00
Each line ends with the local moment (μB).
Atoms (fractional coordinates):
Os (0.690, 0.125, 0.250)  0.11
Os (0.375, 0.310, 0.750)  0.12
Os (0.875, 0.940, 0.750)  0.13
Os (0.060, 0.625, 0.250)  0.13
Co (0.750, 0.250, 0.500)  0.63
Co (0.000, 0.000, 0.000)  0.64
Ca (0.500, 0.500, 0.000)  -0.01
Ca (0.250, 0.750, 0.500)  -0.01

This record from Alexandria via LeMat-Bulk describes a relaxed CoRe3Se crystal. The functional is PBE.

Values from the calculation:
Energy relative to the lowest polymorph listed for this composition: 0.0 meV/atom
Raw formation energy: 1.847 eV/atom

a b c (Å): 4.453 4.453 4.453
angles (deg): 90.00 90.00 90.00
Atoms (fractional coordinates):
Re (0.500, 0.000, 0.000)
Re (0.000, 0.500, 0.000)
Re (0.000, 0.000, 0.500)
Se (0.500, 0.500, 0.500)
Co (0.000, 0.000, 0.000)

This record from Alexandria via LeMat-Bulk describes a relaxed RuPb3Au crystal. The functional is PBE.

Values from the calculation:
Energy relative to the lowest polymorph listed for this composition: 0.0 meV/atom
Formation energy: 0.31 eV per atom

a b c (Å): 5.239 5.239 5.239
angles (deg): 90.00 90.00 90.00
Atoms (fractional coordinates):
Pb (0.500, 0.000, 0.000)
Pb (0.000, 0.000, 0.500)
Pb (0.000, 0.500, 0.000)
Ru (0.000, 0.000, 0.000)
Au (0.500, 0.500, 0.500)

This record from Alexandria via LeMat-Bulk describes a relaxed MnCoHg2Ge crystal. The functional is PBE.

Values from the calculation:
Formation energy: 0.95 eV per atom

a b c (Å): 5.081 4.441 5.081
angles (deg): 90.00 90.00 90.00
Each line ends with the local moment (μB).
Atoms (fractional coordinates):
Hg (0.000, 0.000, 0.500)  0.01
Hg (0.500, 0.000, 0.000)  -0.01
Ge (0.500, 0.500, 0.500)  -0.07
Mn (0.000, 0.000, 0.000)  3.13
Co (0.000, 0.500, 0.000)  1.87

This record from Alexandria via LeMat-Bulk describes a relaxed FeSnOs crystal. The functional is PBE.

Values from the calculation:
Formation energy: 0.45 eV per atom

a b c (Å): 4.591 3.222 8.412
angles (deg): 90.00 123.07 90.00
Each line ends with the local moment (μB).
Atoms (fractional coordinates):
Fe (0.364, 0.000, 0.471)  2.79
Fe (0.364, 0.500, 0.971)  2.79
Sn (0.962, 0.500, 0.569)  -0.04
Sn (0.962, 0.000, 0.069)  -0.04
Os (0.652, 0.000, 0.259)  0.51
Os (0.652, 0.500, 0.759)  0.51

This record from Alexandria via LeMat-Bulk describes a relaxed Rb2VBiOs crystal. The functional is PBE.

Values from the calculation:
Energy relative to the lowest polymorph listed for this composition: 0.0 meV/atom
Formation energy: 1.22 eV per atom

a b c (Å): 6.834 4.429 6.834
angles (deg): 90.00 90.00 90.00
Each line ends with the local moment (μB).
Atoms (fractional coordinates):
V (0.000, 0.000, 0.000)  2.03
Rb (0.000, 0.000, 0.500)  0.02
Rb (0.500, 0.000, 0.000)  0.02
Os (0.000, 0.500, 0.000)  -1.20
Bi (0.500, 0.500, 0.500)  -0.34

This record from Alexandria via LeMat-Bulk describes a relaxed GdInIr2 crystal. The functional is PBE.

Values from the calculation:
Formation energy: -0.38 eV per atom

a b c (Å): 3.443 3.443 6.408
angles (deg): 90.00 90.00 90.00
Each line ends with the local moment (μB).
Atoms (fractional coordinates):
In (0.500, 0.500, 0.000)  0.01
Ir (0.000, 0.000, 0.768)  -0.05
Ir (0.000, 0.000, 0.232)  -0.05
Gd (0.500, 0.500, 0.500)  6.99

This record from Alexandria via LeMat-Bulk describes a relaxed ZrTa3Sb crystal. The functional is PBE.

Values from the calculation:
Energy relative to the lowest polymorph listed for this composition: 287.2 meV/atom
Raw formation energy: 1.770 eV/atom

a b c (Å): 4.952 4.952 4.952
angles (deg): 90.00 90.00 90.00
Atoms (fractional coordinates):
Ta (0.000, 0.500, 0.000)
Ta (0.500, 0.000, 0.000)
Ta (0.000, 0.000, 0.500)
Sb (0.500, 0.500, 0.500)
Zr (0.000, 0.000, 0.000)

This record from Alexandria via LeMat-Bulk describes a relaxed CoHg2Pb crystal. The functional is PBE.

Values from the calculation:
Formation energy: 0.38 eV per atom

a b c (Å): 9.884 9.884 9.884
angles (deg): 19.07 19.07 19.07
Each line ends with the local moment (μB).
Atoms (fractional coordinates):
Co (0.750, 0.750, 0.750)  1.59
Pb (0.250, 0.250, 0.250)  -0.01
Hg (0.484, 0.484, 0.484)  -0.01
Hg (0.016, 0.016, 0.016)  -0.01

This record from Alexandria via LeMat-Bulk describes a relaxed TbSi4Tc4 crystal. The functional is PBE.

Values from the calculation:
Raw formation energy: -0.493 eV/atom

a b c (Å): 4.700 8.056 8.056
angles (deg): 90.00 90.00 90.00
Atoms (fractional coordinates):
Tc (0.093, 0.123, 0.628)
Tc (0.593, 0.128, 0.377)
Tc (0.407, 0.623, 0.128)
Tc (0.593, 0.872, 0.623)
Tc (0.407, 0.377, 0.872)
Tc (0.907, 0.372, 0.123)
Tc (0.907, 0.628, 0.877)
Tc (0.093, 0.877, 0.372)
Si (0.586, 0.160, 0.689)
Si (0.086, 0.189, 0.340)
Si (0.914, 0.660, 0.189)
Si (0.586, 0.840, 0.311)
Si (0.914, 0.340, 0.811)
Si (0.414, 0.311, 0.160)
Si (0.086, 0.811, 0.660)
Si (0.414, 0.689, 0.840)
Tb (0.000, 0.000, 0.000)
Tb (0.500, 0.500, 0.500)

This record from Alexandria via LeMat-Bulk describes a relaxed Tl4RhI2 crystal. The functional is PBE.

Values from the calculation:
Raw formation energy: -0.297 eV/atom

a b c (Å): 5.319 5.319 9.828
angles (deg): 105.70 105.70 90.00
Atoms (fractional coordinates):
Tl (0.500, 0.000, 0.000)
Tl (0.000, 0.500, 0.000)
Tl (0.154, 0.154, 0.308)
Tl (0.846, 0.846, 0.692)
I (0.349, 0.349, 0.699)
I (0.651, 0.651, 0.301)
Rh (0.000, 0.000, 0.000)

This record from Alexandria via LeMat-Bulk describes a relaxed LiBeCu2Pt crystal. The functional is PBE.

Values from the calculation:
Formation energy: 0.01 eV per atom

a b c (Å): 4.105 4.164 4.105
angles (deg): 90.00 90.00 90.00
Atoms (fractional coordinates):
Pt (0.000, 0.500, 0.000)
Li (0.500, 0.500, 0.500)
Cu (0.500, 0.000, 0.000)
Cu (0.000, 0.000, 0.500)
Be (0.000, 0.000, 0.000)

This record from Alexandria via LeMat-Bulk describes a relaxed YCd12Hg6 crystal. The functional is PBE.

Values from the calculation:
Energy relative to the lowest polymorph listed for this composition: 0.0 meV/atom
Formation energy: -0.05 eV per atom

a b c (Å): 7.990 7.990 7.990
angles (deg): 103.41 103.41 103.41
Atoms (fractional coordinates):
Cd (0.263, 0.995, 0.734)
Cd (0.809, 0.417, 0.410)
Cd (0.410, 0.809, 0.417)
Cd (0.737, 0.005, 0.266)
Cd (0.191, 0.583, 0.590)
Cd (0.583, 0.590, 0.191)
Cd (0.995, 0.734, 0.263)
Cd (0.266, 0.737, 0.005)
Cd (0.417, 0.410, 0.809)
Cd (0.005, 0.266, 0.737)
Cd (0.590, 0.191, 0.583)
Cd (0.734, 0.263, 0.995)
Hg (0.839, 0.579, 0.832)
Hg (0.832, 0.839, 0.579)
Hg (0.168, 0.161, 0.421)
Hg (0.579, 0.832, 0.839)
Hg (0.161, 0.421, 0.168)
Hg (0.421, 0.168, 0.161)
Y (0.000, 0.000, 0.000)

This record from Alexandria via LeMat-Bulk describes a relaxed Ba2AcAgSe4 crystal. The functional is PBE.

Values from the calculation:
Raw formation energy: -1.577 eV/atom

a b c (Å): 4.584 7.913 7.803
angles (deg): 69.60 90.00 90.00
Atoms (fractional coordinates):
Ac (0.000, 0.500, 0.500)
Se (0.500, 0.264, 0.740)
Se (0.000, 0.275, 0.240)
Se (0.000, 0.725, 0.759)
Se (0.500, 0.736, 0.260)
Ag (0.500, 0.500, 0.000)
Ba (0.500, 0.000, 0.500)
Ba (0.000, 0.000, 0.000)

This record from Alexandria via LeMat-Bulk describes a relaxed LiCd3Sn crystal. The functional is PBE.

Values from the calculation:
Energy relative to the lowest polymorph listed for this composition: 10.7 meV/atom
Formation energy: -0.06 eV per atom

a b c (Å): 4.723 7.346 7.349
angles (deg): 69.17 98.26 98.26
Atoms (fractional coordinates):
Cd (0.538, 0.347, 0.420)
Cd (0.093, 0.267, 0.706)
Cd (0.087, 0.641, 0.421)
Cd (0.193, 0.583, 0.023)
Cd (0.537, 0.980, 0.786)
Cd (0.087, 0.982, 0.080)
Li (0.583, 0.801, 0.240)
Li (0.014, 0.028, 0.466)
Sn (0.646, 0.631, 0.701)
Sn (0.645, 0.261, 0.071)

This record from Alexandria via LeMat-Bulk describes a relaxed SrMg2Ag4Sn crystal. The functional is PBE.

Values from the calculation:
Formation energy: -0.15 eV per atom

a b c (Å): 4.723 4.723 10.074
angles (deg): 76.44 76.44 60.00
Atoms (fractional coordinates):
Ag (0.120, 0.120, 0.639)
Ag (0.599, 0.599, 0.203)
Ag (0.401, 0.401, 0.797)
Ag (0.880, 0.880, 0.361)
Mg (0.759, 0.759, 0.724)
Mg (0.241, 0.241, 0.276)
Sr (0.000, 0.000, 0.000)
Sn (0.500, 0.500, 0.500)

This record from Alexandria via LeMat-Bulk describes a relaxed Ba3AgF crystal. The functional is PBE.

Values from the calculation:
Energy relative to the lowest polymorph listed for this composition: 0.0 meV/atom
Raw formation energy: -1.009 eV/atom

a b c (Å): 5.629 5.629 5.629
angles (deg): 90.00 90.00 90.00
Atoms (fractional coordinates):
F (0.000, 0.000, 0.000)
Ba (0.000, 0.000, 0.500)
Ba (0.500, 0.000, 0.000)
Ba (0.000, 0.500, 0.000)
Ag (0.500, 0.500, 0.500)